Entry from Alexandria: PmBiIrAu after structural relaxation (PBE).

Cell: 5.0286 5.0286 5.0286 Å, 60.00 60.00 60.00°
Closest atoms and distances in Å follow each position.
Positions (direct):
Bi 0.7500 0.7500 0.7500  4 Ir 3.08, 4 Au 3.08
Au 0.0000 0.0000 0.0000  4 Bi 3.08, 4 Pm 3.08
Ir 0.5000 0.5000 0.5000  4 Bi 3.08, 4 Pm 3.08
Pm 0.2500 0.2500 0.2500  4 Au 3.08, 4 Ir 3.08

Output
E_form   -1.28 eV per formula unit
Total magnetic moment   0.0 μB/cell